Below is crystalline BaNa4Eu at its relaxed geometry, with properties calculated at the PBE level.

Cell lengths 10.0860, 10.0860, 10.0860 Å; angles 90.00, 90.00, 90.00 degrees
Closest atoms and distances in Å follow each position.
Space group F-43m (No. 216)
Asymmetric unit:
Ba (0.0000, 0.0000, 0.0000)  12 Na 4.18, 4 Eu 4.37
Na (0.1245, 0.1245, 0.3755)  6 Na 3.55-3.58
Eu (0.2500, 0.2500, 0.7500)  12 Na 4.18, 4 Ba 4.37

Properties
volume: 1026.02 Å³/cell
total energy: -2.88 eV/atom